NdHo5Er3: optimized geometry, PBE.

POSCAR file:
```
NdHo5Er3
1.0
9.185 -3.153 0.000
9.185 3.153 0.000
-4.428 0.000 10.244
Nd Ho Er
2 10 6
Direct
0.137 0.863 0.750
0.863 0.137 0.250
0.008 0.651 0.132
0.124 0.540 0.793
0.349 0.992 0.368
0.392 0.608 0.250
0.460 0.876 0.707
0.540 0.124 0.293
0.608 0.392 0.750
0.651 0.008 0.632
0.876 0.460 0.207
0.992 0.349 0.868
0.000 0.000 0.000
0.000 0.000 0.500
0.142 0.533 0.486
0.467 0.858 0.014
0.533 0.142 0.986
0.858 0.467 0.514
```

Values from the calculation:
formation energy = 0.313 eV per atom
calculated volume = 593 Å³/cell
DOS(E_F) = 24.0 states/eV per cell


Be3FeMo: optimized geometry, PBE.

POSCAR file:
```
Be3FeMo
1.0
3.801 0.000 0.000
0.000 3.801 0.000
0.000 0.000 3.801
Be Fe Mo
3 1 1
Direct
0.000 0.000 0.500
0.000 0.500 0.000
0.500 0.000 0.000
0.000 0.000 0.000
0.500 0.500 0.500
```

Values from the calculation:
formation energy = 0.625 eV per atom
calculated volume = 55 Å³/cell
DOS(E_F) = 4.8 states/eV per cell


Ho6GaGe2Se3: optimized geometry, PBE.

POSCAR file:
```
Ho6GaGe2Se3
1.0
9.049 -2.048 0.000
9.049 2.048 0.000
-2.322 0.000 7.945
Ho Ga Ge Se
6 1 2 3
Direct
0.000 0.000 0.249
0.000 0.000 0.751
0.330 0.330 0.928
0.333 0.333 0.413
0.667 0.667 0.587
0.670 0.670 0.072
0.500 0.500 0.500
0.164 0.164 0.827
0.836 0.836 0.173
0.168 0.168 0.330
0.500 0.500 0.000
0.832 0.832 0.670
```

Values from the calculation:
calculated volume = 294 Å³/cell
raw formation energy = -1287 meV per atom
DOS(E_F) = 4.9 states/eV per cell


LiGaSi: optimized geometry, PBE.

POSCAR file:
```
LiGaSi
1.0
2.824 0.000 0.000
0.000 4.262 0.000
0.000 0.000 7.917
Li Ga Si
2 2 2
Direct
0.000 0.000 0.000
0.000 0.500 0.500
0.500 0.000 0.332
0.500 0.000 0.668
0.500 0.500 0.156
0.500 0.500 0.844
```

Values from the calculation:
calculated volume = 95 Å³/cell
raw formation energy = -94 meV per atom
DOS(E_F) = 1.8 states/eV per cell